CuSeIO2: relaxed, GGA-PBE.

Computed properties:
E above lowest polymorph: 348 meV/atom
SG: P4/mmm, No. 123

Unit cell a=3.872 b=3.872 c=7.236 alpha=90.00 beta=90.00 gamma=90.00
Positions (direct):
Cu1 0.000 0.000 0.000
O1 0.000 0.500 0.000
O2 0.500 0.000 0.000
Se1 0.500 0.500 0.500
I1 0.000 0.000 0.500